# SrMnAu3

SrMnAu3 after structural relaxation (PBE, Alexandria).

- E: -3.293 eV per atom
- Formation energy from the elements: 81 kJ per mole of atoms
- Magnetization: 5.84 μB/f.u.
- Energy above the lowest structure with this stoichiometry: 1015 meV per atom
- Space group: Pm-3m

a b c (Å): 5.7222 5.7222 5.7222
angles (deg): 90.00 90.00 90.00
Last column: magnetic moment on the atom in μB.
Atoms (fractional coordinates):
Au: 0.0000 0.5000 0.0000  0.04
Au: 0.5000 0.0000 0.0000  0.09
Au: 0.0000 0.0000 0.5000  0.06
Sr: 0.0000 0.0000 0.0000  0.01
Mn: 0.5000 0.5000 0.5000  4.79